No. 1
## Zr4Zn5 (SCAN)

Data for Zr4Zn5 at its PBEsol-relaxed geometry.

## Properties
Total energy, eV/atom: -21.453
Magnetic moment, μB/cell: 0.00

a = 8.0901 Å, b = 8.0901 Å, c = 5.5752 Å
α = 90.00°, β = 90.00°, γ = 120.00°
Closest atoms and distances in Å follow each position.
Space group P6_3/mcm (No. 193)
Asymmetric unit:
Zr  0.0000  0.0000  0.0000 x2  2 Zr 2.79, 6 Zn 2.91
Zr  0.0000  0.3562  0.2500 x6  9 Zn 2.65-2.96
Zn  0.0000  0.3161  0.7500 x6  7 Zr 2.65-2.91
Zn  0.3333  0.6667  0.0000 x4  8 Zn 2.79-3.10, 6 Zr 2.96

=====

No. 2
## Ce2ZnSb4 (SCAN)

Data for Ce2ZnSb4 at its PBEsol-relaxed geometry.

## Properties
E_form (uncorrected), eV/atom: -0.79
Magnetic moment, μB/cell: 1.48

a = 4.3526 Å, b = 4.3526 Å, c = 9.5460 Å
α = 90.00°, β = 90.00°, γ = 90.00°
Closest atoms and distances in Å follow each position.
Space group P-4m2 (No. 115)
Asymmetric unit:
Ce  0.0000  0.5000  0.2462 x2  8 Sb 3.18-3.26, 2 Zn 3.20
Zn  0.0000  0.0000  0.0000 x1  4 Sb 2.66
Sb  0.0000  0.0000  0.5000 x1  4 Sb 3.08, 4 Ce 3.26
Sb  0.0000  0.5000  0.8394 x2  2 Zn 2.66
Sb  0.5000  0.5000  0.5000 x1  4 Sb 3.08, 4 Ce 3.26

=====

No. 3
## FeTeP2 (SCAN)

Data for FeTeP2 at its PBEsol-relaxed geometry.

## Properties
E_form (uncorrected), eV/atom: 0.79
Magnetic moment, μB/cell: 5.20

a = 4.4452 Å, b = 4.4452 Å, c = 6.3094 Å
α = 90.00°, β = 90.00°, γ = 90.00°
Closest atoms and distances in Å follow each position.
Space group I-4m2 (No. 119)
Asymmetric unit:
Fe  0.0000  0.0000  0.0000 x2  4 Te 2.73, 4 P 2.73
Te  0.0000  0.5000  0.7500 x2  4 Fe 2.73, 4 P 2.73
P  0.0000  0.0000  0.5000 x2  4 Te 2.73, 4 P 2.73
P  0.0000  0.5000  0.2500 x2  4 Fe 2.73, 4 P 2.73